Entry 1:
Computed, not measured: Fe2HRuW after structural relaxation at the GGA-PBE level of DFT.

Calculated values
spin magnetization: 0.00 μB per atom
density: 12.59 Mg/m³
polymorph energy (0 for the lowest one): 0 meV/atom
Fermi-level density of states: 0.79 states/eV/atom
symmetry: P4/mmm, No. 123
V: 52.46 Å³/cell

```
Fe2HRuW
1.0
-2.219 0.559 -2.953
2.722 -1.182 -2.269
-1.282 -3.521 0.297
Ru Fe W H
1 2 1 1
Direct
0.000 0.000 0.500
0.000 0.500 0.000
0.500 0.000 0.000
0.500 0.500 0.500
0.000 0.000 0.000
```

Entry 2:
Computed, not measured: Fe2HRuW after structural relaxation at the GGA-PBE level of DFT.

Calculated values
spin magnetization: 0.00 μB per atom
density: 12.51 Mg/m³
polymorph energy (0 for the lowest one): 57 meV/atom
Fermi-level density of states: 0.83 states/eV/atom
symmetry: P4/mmm, No. 123
V: 52.78 Å³/cell

```
Fe2HRuW
1.0
-0.059 3.317 1.631
-3.696 -0.082 0.034
0.070 -1.703 3.465
Ru Fe W H
1 2 1 1
Direct
0.500 0.500 0.500
0.000 0.500 0.000
0.500 0.000 0.000
0.000 0.000 0.500
0.000 0.000 0.000
```

Entry 3:
Computed, not measured: Fe2HRuW after structural relaxation at the GGA-PBE level of DFT.

Calculated values
spin magnetization: 0.00 μB per atom
density: 10.64 Mg/m³
polymorph energy (0 for the lowest one): 1114 meV/atom
Fermi-level density of states: 1.34 states/eV/atom
symmetry: P4/mmm, No. 123
V: 62.05 Å³/cell

```
Fe2HRuW
1.0
4.518 0.000 0.000
0.000 3.040 0.000
0.000 0.000 4.518
Ru Fe W H
1 2 1 1
Direct
0.000 0.000 0.000
0.000 0.000 0.500
0.500 0.000 0.000
0.500 0.500 0.500
0.000 0.500 0.000
```

Entry 4:
Computed, not measured: Y2FeHRu after structural relaxation at the GGA-PBE level of DFT.

Calculated values
calculated total energy: -6.995 eV per atom
spin magnetization: 0.22 μB per atom
density: 6.92 Mg/m³
Fermi-level density of states: 0.92 states/eV/atom
symmetry: P4/mmm, No. 123
V: 80.53 Å³/cell

```
Y2FeHRu
1.0
-1.766 3.466 2.872
-1.620 -3.368 3.068
2.992 0.113 1.703
Y Ru Fe H
2 1 1 1
Direct
0.000 0.500 0.000
0.500 0.000 0.000
0.500 0.500 0.500
0.000 0.000 0.500
0.000 0.000 0.000
```

Entry 5:
Computed, not measured: Zr2FeHRu after structural relaxation at the GGA-PBE level of DFT.

Calculated values
calculated total energy: -8.020 eV per atom
spin magnetization: 0.07 μB per atom
density: 8.10 Mg/m³
Fermi-level density of states: 0.51 states/eV/atom
symmetry: P4/mmm, No. 123
V: 69.81 Å³/cell

```
Zr2FeHRu
1.0
-0.914 -4.400 0.773
3.740 -0.321 2.589
-1.800 0.849 2.704
Ru Fe Zr H
1 1 2 1
Direct
0.500 0.500 0.500
0.000 0.000 0.500
0.000 0.500 0.000
0.500 0.000 0.000
0.000 0.000 0.000
```

Entry 6:
Computed, not measured: ZrFe2HRu after structural relaxation at the GGA-PBE level of DFT.

Calculated values
calculated total energy: -7.712 eV per atom
spin magnetization: 0.92 μB per atom
density: 8.35 Mg/m³
Fermi-level density of states: 0.70 states/eV/atom
symmetry: P4/mmm, No. 123
V: 60.65 Å³/cell

```
ZrFe2HRu
1.0
3.815 0.000 0.000
0.000 3.815 0.000
0.000 0.000 4.166
Ru Fe Zr H
1 2 1 1
Direct
0.000 0.000 0.500
0.000 0.500 0.000
0.500 0.000 0.000
0.500 0.500 0.500
0.000 0.000 0.000
```

Entry 7:
Computed, not measured: FeHS2 after structural relaxation at the GGA-PBE level of DFT.

Calculated values
spin magnetization: 0.00 μB per atom
density: 3.72 Mg/m³
polymorph energy (0 for the lowest one): 328 meV/atom
Fermi-level density of states: 0.78 states/eV/atom
symmetry: I-42d, No. 122
V: 107.87 Å³/cell

```
FeHS2
1.0
-3.793 1.431 2.571
1.009 -3.307 3.331
1.303 2.155 5.205
H S Fe
2 4 2
Direct
0.500 0.500 0.000
0.250 0.750 0.500
0.611 0.125 0.250
0.139 0.625 0.250
0.375 0.389 0.750
0.875 0.861 0.750
0.000 0.000 0.000
0.750 0.250 0.500
```

Entry 8:
Computed, not measured: FeHS2 after structural relaxation at the GGA-PBE level of DFT.

Calculated values
spin magnetization: 0.49 μB per atom
density: 4.07 Mg/m³
polymorph energy (0 for the lowest one): 985 meV/atom
Fermi-level density of states: 0.80 states/eV/atom
symmetry: R-3m, No. 166
V: 49.37 Å³/cell

```
FeHS2
1.0
-2.288 1.487 6.589
-0.387 -0.598 7.096
0.503 2.111 6.794
H S Fe
1 2 1
Direct
0.500 0.500 0.500
0.899 0.899 0.899
0.101 0.101 0.101
0.000 0.000 0.000
```

Entry 9:
Computed, not measured: FeHS2 after structural relaxation at the GGA-PBE level of DFT.

Calculated values
spin magnetization: 0.00 μB per atom
density: 4.78 Mg/m³
polymorph energy (0 for the lowest one): 697 meV/atom
Fermi-level density of states: 0.46 states/eV/atom
symmetry: Fm-3m, No. 225
V: 42.02 Å³/cell

```
FeHS2
1.0
0.000 2.759 2.759
2.759 0.000 2.759
2.759 2.759 0.000
H S Fe
1 2 1
Direct
0.000 0.000 0.000
0.250 0.250 0.250
0.750 0.750 0.750
0.500 0.500 0.500
```

Entry 10:
Computed, not measured: FeHS2 after structural relaxation at the GGA-PBE level of DFT.

Calculated values
spin magnetization: 0.25 μB per atom
density: 3.64 Mg/m³
polymorph energy (0 for the lowest one): 0 meV/atom
Fermi-level density of states: 1.17 states/eV/atom
symmetry: R-3m, No. 166
V: 55.24 Å³/cell

```
FeHS2
1.0
-2.677 2.555 4.571
-0.801 0.024 5.826
0.657 2.980 5.028
H S Fe
1 2 1
Direct
0.000 0.000 0.000
0.902 0.902 0.902
0.098 0.098 0.098
0.500 0.500 0.500
```

Entry 11:
Computed, not measured: FeH2S after structural relaxation at the GGA-PBE level of DFT.

Calculated values
spin magnetization: 0.48 μB per atom
density: 4.24 Mg/m³
polymorph energy (0 for the lowest one): 0 meV/atom
Fermi-level density of states: 0.68 states/eV/atom
symmetry: I4_1/amd, No. 141
V: 70.37 Å³/cell

```
FeH2S
1.0
3.284 0.000 0.000
0.000 3.284 0.000
1.642 1.642 6.524
H S Fe
4 2 2
Direct
0.874 0.125 0.250
0.876 0.625 0.250
0.375 0.126 0.750
0.875 0.124 0.750
0.500 0.500 0.000
0.250 0.750 0.500
0.000 0.000 0.000
0.750 0.250 0.500
```

Entry 12:
Computed, not measured: FeH2S8 after structural relaxation at the GGA-PBE level of DFT.

Calculated values
calculated total energy: -4.375 eV per atom
spin magnetization: 0.16 μB per atom
density: 2.43 Mg/m³
Fermi-level density of states: 0.26 states/eV/atom
symmetry: P-1, No. 2
V: 214.57 Å³/cell

```
FeH2S8
1.0
-2.254 0.041 2.904
-0.920 -4.306 -0.490
15.523 10.547 6.222
Fe H S
1 2 8
Direct
0.500 0.000 0.000
0.121 0.364 0.434
0.879 0.636 0.566
0.743 0.309 0.159
0.469 0.147 0.732
0.953 0.424 0.376
0.950 0.562 0.957
0.047 0.576 0.624
0.531 0.853 0.268
0.257 0.691 0.841
0.050 0.438 0.043
```